DFT (SCAN) results for a PBEsol-optimized structure of Li2ZnOs.

abc: 9.3532 9.3532 9.3532
angles: 16.48 16.48 16.48
Closest atoms and distances in Å follow each position.
Fractional positions:
Li 0.0000 0.0000 0.0000  3 Os 2.68, 6 Li 2.68
Li 0.2388 0.2388 0.2388  6 Li 2.68, 3 Zn 2.70
Zn 0.4924 0.4924 0.4924  6 Zn 2.68, 3 Li 2.70, 3 Os 2.70
Os 0.7456 0.7456 0.7456  3 Li 2.68, 6 Os 2.68, 3 Zn 2.70

Calculated values
Crystal system: trigonal
ΔH_f (0 K), meV/atom: 82
N(E_F), states/eV per cell: 2.50
Final energy, eV per atom: -22.4619